No. 1
# AgOs2W GGA-PBE relaxed
data_AgOs2W
_chemical_formula_sum 'Ag1 Os2 W1'
_cell_length_a 2.7888
_cell_length_b 2.7888
_cell_length_c 8.0886
_cell_angle_alpha 90.00
_cell_angle_beta 90.00
_cell_angle_gamma 90.00
_space_group_name_H-M_alt 'P 1'
_space_group_IT_number 1
_space_group_name_Hall 'P 1'
loop_
_atom_site_label
_atom_site_type_symbol
_atom_site_fract_x
_atom_site_fract_y
_atom_site_fract_z
Ag1 Ag 0.0000 0.0000 0.0000
Os1 Os 0.5000 0.5000 0.2673
Os2 Os 0.5000 0.5000 0.7327
W1 W 0.0000 0.0000 0.5000
# Symmetry: P4/mmm
# Spin magnetization in μB/atom: 0.000
# Calculated volume in Å³ per cell: 62.91
# E above lowest polymorph in meV/atom: 170
# Energy relative to the elements in eV/atom: 0.46
# D(E_F) in states/eV/f.u.: 4.31


No. 2
# Ag2OsW GGA-PBE relaxed
data_Ag2OsW
_chemical_formula_sum 'Ag2 Os1 W1'
_cell_length_a 2.7179
_cell_length_b 4.5428
_cell_length_c 5.2634
_cell_angle_alpha 90.00
_cell_angle_beta 90.00
_cell_angle_gamma 90.00
_space_group_name_H-M_alt 'P 1'
_space_group_IT_number 1
_space_group_name_Hall 'P 1'
loop_
_atom_site_label
_atom_site_type_symbol
_atom_site_fract_x
_atom_site_fract_y
_atom_site_fract_z
Ag1 Ag 0.0000 0.0000 0.2503
Ag2 Ag 0.0000 0.0000 0.7497
Os1 Os 0.5000 0.5000 0.0000
W1 W 0.5000 0.5000 0.5000
# Symmetry: Pmmm
# Spin magnetization in μB/atom: 0.001
# Calculated volume in Å³ per cell: 64.99
# E above lowest polymorph in meV/atom: 470
# Energy relative to the elements in eV/atom: 0.76
# D(E_F) in states/eV/f.u.: 3.32


No. 3
# Ag2Os2W GGA-PBE relaxed
data_Ag2Os2W
_chemical_formula_sum 'Ag4 Os4 W2'
_cell_length_a 6.3733
_cell_length_b 6.3733
_cell_length_c 4.4223
_cell_angle_alpha 90.00
_cell_angle_beta 90.00
_cell_angle_gamma 90.00
_space_group_name_H-M_alt 'P 1'
_space_group_IT_number 1
_space_group_name_Hall 'P 1'
loop_
_atom_site_label
_atom_site_type_symbol
_atom_site_fract_x
_atom_site_fract_y
_atom_site_fract_z
Ag1 Ag 0.1716 0.3284 0.0000
Ag2 Ag 0.3284 0.8284 0.0000
Ag3 Ag 0.6716 0.1716 0.0000
Ag4 Ag 0.8284 0.6716 0.0000
Os1 Os 0.1337 0.6337 0.5000
Os2 Os 0.3663 0.1337 0.5000
Os3 Os 0.6337 0.8663 0.5000
Os4 Os 0.8663 0.3663 0.5000
W1 W 0.0000 0.0000 0.5000
W2 W 0.5000 0.5000 0.5000
# Symmetry: P4/mbm
# Spin magnetization in μB/atom: 0.000
# Calculated volume in Å³ per cell: 179.63
# E above lowest polymorph in meV/atom: 0
# Energy relative to the elements in eV/atom: 0.94
# D(E_F) in states/eV/f.u.: 4.51


No. 4
# AgOs2W GGA-PBE relaxed
data_AgOs2W
_chemical_formula_sum 'Ag1 Os2 W1'
_cell_length_a 9.5212
_cell_length_b 9.5212
_cell_length_c 9.5212
_cell_angle_alpha 16.73
_cell_angle_beta 16.73
_cell_angle_gamma 16.73
_space_group_name_H-M_alt 'P 1'
_space_group_IT_number 1
_space_group_name_Hall 'P 1'
loop_
_atom_site_label
_atom_site_type_symbol
_atom_site_fract_x
_atom_site_fract_y
_atom_site_fract_z
Ag1 Ag 0.0000 0.0000 0.0000
Os1 Os 0.4972 0.4972 0.4972
Os2 Os 0.7541 0.7541 0.7541
W1 W 0.2439 0.2439 0.2439
# Symmetry: R3m
# Spin magnetization in μB/atom: 0.000
# Calculated volume in Å³ per cell: 62.40
# E above lowest polymorph in meV/atom: 102
# Energy relative to the elements in eV/atom: 0.39
# D(E_F) in states/eV/f.u.: 4.63


No. 5
# AgOs2W GGA-PBE relaxed
data_AgOs2W
_chemical_formula_sum 'Ag1 Os2 W1'
_cell_length_a 2.7713
_cell_length_b 4.0020
_cell_length_c 5.5918
_cell_angle_alpha 90.00
_cell_angle_beta 90.10
_cell_angle_gamma 90.00
_space_group_name_H-M_alt 'P 1'
_space_group_IT_number 1
_space_group_name_Hall 'P 1'
loop_
_atom_site_label
_atom_site_type_symbol
_atom_site_fract_x
_atom_site_fract_y
_atom_site_fract_z
Ag1 Ag 0.0000 0.0000 0.0000
Os1 Os 0.0021 0.0000 0.4919
Os2 Os 0.5009 0.5000 0.2707
W1 W 0.4983 0.5000 0.7268
# Symmetry: Pm
# Spin magnetization in μB/atom: 0.000
# Calculated volume in Å³ per cell: 62.02
# E above lowest polymorph in meV/atom: 185
# Energy relative to the elements in eV/atom: 0.48
# D(E_F) in states/eV/f.u.: 3.26


No. 6
# Ag3OsW GGA-PBE relaxed
data_Ag3OsW
_chemical_formula_sum 'Ag3 Os1 W1'
_cell_length_a 4.9750
_cell_length_b 4.9750
_cell_length_c 4.9750
_cell_angle_alpha 90.00
_cell_angle_beta 90.00
_cell_angle_gamma 90.00
_space_group_name_H-M_alt 'P 1'
_space_group_IT_number 1
_space_group_name_Hall 'P 1'
loop_
_atom_site_label
_atom_site_type_symbol
_atom_site_fract_x
_atom_site_fract_y
_atom_site_fract_z
Ag1 Ag 0.0000 0.0000 0.5000
Ag2 Ag 0.0000 0.5000 0.0000
Ag3 Ag 0.5000 0.0000 0.0000
Os1 Os 0.5000 0.5000 0.5000
W1 W 0.0000 0.0000 0.0000
# Symmetry: Pm-3m
# Spin magnetization in μB/atom: 0.552
# Calculated volume in Å³ per cell: 123.13
# E above lowest polymorph in meV/atom: 257
# Energy relative to the elements in eV/atom: 2.68
# D(E_F) in states/eV/f.u.: 4.80


- The lowest energy relative to the elements belongs to which entry?
  number 4